(1)
The following is a PBE-GGA calculation of crystalline TiSiPtW2 at its relaxed geometry, from the Alexandria database.

extended XYZ file:
```
5
Lattice="4.614 0.000 0.000 0.000 4.614 0.000 0.000 0.000 4.620" Properties=species:S:1:pos:R:3 pbc="T T T"
Ti 0.000 0.000 0.000
Si 2.307 2.307 2.310
Pt 0.000 0.000 2.310
W 0.000 2.307 0.000
W 2.307 0.000 0.000
```

Properties
- formation energy (no corrections) (eV per atom) = 1.78
- space group = P4/mmm

(2)
The following is a PBE-GGA calculation of crystalline LiSc2Ni at its relaxed geometry, from the Alexandria database.

extended XYZ file:
```
12
Lattice="3.318 0.000 0.000 -1.659 2.874 0.000 0.000 0.000 26.479" Properties=species:S:1:pos:R:3 pbc="T T T"
Li 0.000 0.000 0.000
Li 0.000 1.916 17.652
Li 1.659 0.958 8.826
Sc 0.000 0.000 6.139
Sc 0.000 0.000 20.339
Sc 0.000 1.916 11.513
Sc 0.000 1.916 23.792
Sc 1.659 0.958 2.687
Sc 1.659 0.958 14.965
Ni 0.000 0.000 13.239
Ni 0.000 1.916 4.413
Ni 1.659 0.958 22.065
```

Properties
- ΔH_f (0 K) (eV/atom) = -0.01
- space group = R-3m

(3)
The following is a PBE-GGA calculation of crystalline RbHgAsAu at its relaxed geometry, from the Alexandria database.

extended XYZ file:
```
8
Lattice="4.743 0.000 0.000 0.000 5.503 0.000 0.000 0.000 10.365" Properties=species:S:1:pos:R:3 pbc="T T T"
Rb 0.000 0.000 0.000
Rb 0.000 2.751 5.183
Hg 2.372 0.000 7.052
Hg 2.372 2.751 1.869
As 2.372 0.000 3.936
As 2.372 2.751 9.118
Au 0.000 0.000 3.283
Au 0.000 2.751 8.466
```

Properties
- ΔH_f (0 K) (eV/atom) = -0.12
- space group = Amm2

(4)
The following is a PBE-GGA calculation of crystalline Na4Tb3BiS8 at its relaxed geometry, from the Alexandria database.

extended XYZ file:
```
16
Lattice="4.027 2.325 6.699 -4.027 2.325 6.699 0.000 -4.650 6.699" Properties=species:S:1:pos:R:3 pbc="T T T"
Na 0.000 0.000 0.000
Na -2.013 -1.162 6.699
Na -2.013 1.162 13.399
Na 0.000 2.325 6.699
Tb -4.027 0.000 10.049
Tb -2.013 1.162 3.350
Tb 2.013 1.162 3.350
Bi 0.000 0.000 10.049
S -2.048 -1.182 11.593
S 0.000 0.000 4.864
S 0.000 -2.364 8.506
S -2.048 1.182 8.506
S 2.048 -1.182 11.593
S 0.000 2.364 11.593
S 0.000 0.000 15.234
S 2.048 1.182 8.506
```

Properties
- formation energy (no corrections) (eV per atom) = -1.57
- space group = R-3m

(5)
The following is a PBE-GGA calculation of crystalline LaZn2Te at its relaxed geometry, from the Alexandria database.

extended XYZ file:
```
16
Lattice="8.319 0.000 0.000 0.000 8.319 0.000 0.000 0.000 6.244" Properties=species:S:1:pos:R:3 pbc="T T T"
La 0.000 0.000 0.000
La 0.000 4.159 1.561
La 4.159 0.000 4.683
La 4.159 4.159 3.122
Zn 1.868 6.239 3.902
Zn 2.080 1.868 2.341
Zn 2.080 2.292 5.463
Zn 2.292 6.239 0.780
Zn 6.027 2.080 0.780
Zn 6.239 6.027 5.463
Zn 6.239 6.451 2.341
Zn 6.451 2.080 3.902
Te 0.000 0.000 3.122
Te 0.000 4.159 4.683
Te 4.159 0.000 1.561
Te 4.159 4.159 0.000
```

Properties
- formation energy (no corrections) (eV per atom) = -0.39
- space group = I-42d

(6)
The following is a PBE-GGA calculation of crystalline ZrOs2Pt at its relaxed geometry, from the Alexandria database.

extended XYZ file:
```
16
Lattice="3.935 0.000 0.000 0.000 3.935 0.000 0.000 0.000 18.938" Properties=species:S:1:pos:R:3 pbc="T T T"
Zr 0.000 0.000 0.000
Zr 0.000 1.968 4.735
Zr 1.968 0.000 14.204
Zr 1.968 1.968 9.469
Os 0.733 0.984 11.836
Os 0.984 2.701 16.571
Os 0.984 3.202 7.102
Os 1.234 0.984 2.367
Os 2.701 2.951 2.367
Os 2.951 0.733 7.102
Os 2.951 1.234 16.571
Os 3.202 2.951 11.836
Pt 0.000 0.000 9.469
Pt 0.000 1.968 14.204
Pt 1.968 0.000 4.735
Pt 1.968 1.968 0.000
```

Properties
- ΔH_f (0 K) (eV/atom) = 0.21
- space group = I-42d

Let's list D(E_F) in order: 1.36, 1.37, 0.39, 0.00, 0.48, 1.03 states/eV/atom.